Below is a PBEsol-optimized structure of BeBAs2Se, with properties calculated at the meta-GGA SCAN level.

Cell lengths 4.324, 4.324, 4.603 Å; angles 90.00, 90.00, 90.00 degrees
Atoms (fractional coordinates):
Be (0.000, 0.000, 0.000)
B (0.500, 0.500, 0.500)
As (0.000, 0.500, 0.000)
As (0.500, 0.000, 0.000)
Se (0.000, 0.000, 0.500)

Results
The value obtained for the formation energy (no corrections) is 1.27 eV/atom. As for the space group: P4/mmm (123).

***

Below is a PBEsol-optimized structure of BeSiB2As, with properties calculated at the meta-GGA SCAN level.

Cell lengths 3.830, 3.830, 5.095 Å; angles 90.00, 90.00, 90.00 degrees
Atoms (fractional coordinates):
Be (0.000, 0.000, 0.000)
Si (0.500, 0.500, 0.500)
B (0.000, 0.500, 0.500)
B (0.500, 0.000, 0.500)
As (0.500, 0.500, 0.000)

Results
The value obtained for the formation energy (no corrections) is 1.44 eV/atom. As for the space group: P4/mmm (123).

***

Below is a PBEsol-optimized structure of BiB3As, with properties calculated at the meta-GGA SCAN level.

Cell lengths 4.207, 4.207, 4.207 Å; angles 90.00, 90.00, 90.00 degrees
Atoms (fractional coordinates):
Bi (0.000, 0.000, 0.000)
B (0.000, 0.500, 0.500)
B (0.500, 0.000, 0.500)
B (0.500, 0.500, 0.000)
As (0.500, 0.500, 0.500)

Results
For the total DFT energy (no corrections), the calculation gives -1.654 Ry/atom. As for the space group: Pm-3m (221).

***

Below is a PBEsol-optimized structure of BiBMo2As, with properties calculated at the meta-GGA SCAN level.

Cell lengths 4.482, 4.482, 4.017 Å; angles 90.00, 90.00, 90.00 degrees
Atoms (fractional coordinates):
Bi (0.000, 0.000, 0.000)
B (0.500, 0.500, 0.500)
Mo (0.000, 0.500, 0.500)
Mo (0.500, 0.000, 0.500)
As (0.500, 0.500, 0.000)

Results
For the total DFT energy (no corrections), the calculation gives -2.529 Ry/atom. As for the space group: P4/mmm (123).

***

Below is a PBEsol-optimized structure of Na6Bi2B4AsO16, with properties calculated at the meta-GGA SCAN level.

Cell lengths 10.169, 10.169, 10.169 Å; angles 60.00, 60.00, 60.00 degrees
Atoms (fractional coordinates):
Na (0.079, 0.079, 0.671)
Na (0.079, 0.671, 0.079)
Na (0.079, 0.671, 0.671)
Na (0.329, 0.329, 0.921)
Na (0.329, 0.921, 0.329)
Na (0.329, 0.921, 0.921)
Na (0.671, 0.079, 0.079)
Na (0.671, 0.079, 0.671)
Na (0.671, 0.671, 0.079)
Na (0.921, 0.329, 0.329)
Na (0.921, 0.329, 0.921)
Na (0.921, 0.921, 0.329)
Bi (0.000, 0.500, 0.500)
Bi (0.500, 0.000, 0.500)
Bi (0.500, 0.500, 0.000)
Bi (0.500, 0.500, 0.500)
B (0.282, 0.282, 0.282)
B (0.282, 0.282, 0.654)
B (0.282, 0.654, 0.282)
B (0.346, 0.718, 0.718)
B (0.654, 0.282, 0.282)
B (0.718, 0.346, 0.718)
B (0.718, 0.718, 0.346)
B (0.718, 0.718, 0.718)
As (0.125, 0.125, 0.125)
As (0.875, 0.875, 0.875)
O (0.056, 0.056, 0.056)
O (0.056, 0.056, 0.332)
O (0.056, 0.332, 0.056)
O (0.138, 0.295, 0.410)
O (0.138, 0.410, 0.657)
O (0.138, 0.657, 0.295)
O (0.295, 0.138, 0.657)
O (0.295, 0.410, 0.138)
O (0.295, 0.657, 0.410)
O (0.332, 0.056, 0.056)
O (0.343, 0.590, 0.705)
O (0.343, 0.705, 0.862)
O (0.343, 0.862, 0.590)
O (0.410, 0.138, 0.295)
O (0.410, 0.295, 0.657)
O (0.410, 0.657, 0.138)
O (0.590, 0.343, 0.862)
O (0.590, 0.705, 0.343)
O (0.590, 0.862, 0.705)
O (0.657, 0.138, 0.410)
O (0.657, 0.295, 0.138)
O (0.657, 0.410, 0.295)
O (0.668, 0.944, 0.944)
O (0.705, 0.343, 0.590)
O (0.705, 0.590, 0.862)
O (0.705, 0.862, 0.343)
O (0.862, 0.343, 0.705)
O (0.862, 0.590, 0.343)
O (0.862, 0.705, 0.590)
O (0.944, 0.668, 0.944)
O (0.944, 0.944, 0.668)
O (0.944, 0.944, 0.944)

Results
The value obtained for the formation energy (no corrections) is -1.90 eV/atom. As for the space group: Fd-3 (203).

***

Below is a PBEsol-optimized structure of Na2BiBAsO7, with properties calculated at the meta-GGA SCAN level.

Cell lengths 5.457, 7.128, 9.526 Å; angles 90.00, 91.01, 90.00 degrees
Atoms (fractional coordinates):
Na (0.233, 0.002, 0.207)
Na (0.233, 0.498, 0.207)
Na (0.767, 0.502, 0.793)
Na (0.767, 0.998, 0.793)
Bi (0.307, 0.250, 0.632)
Bi (0.693, 0.750, 0.368)
B (0.274, 0.250, 0.911)
B (0.726, 0.750, 0.089)
As (0.234, 0.750, 0.600)
As (0.766, 0.250, 0.400)
O (0.061, 0.250, 0.828)
O (0.073, 0.250, 0.377)
O (0.238, 0.250, 0.050)
O (0.286, 0.750, 0.420)
O (0.380, 0.560, 0.673)
O (0.380, 0.940, 0.673)
O (0.493, 0.250, 0.841)
O (0.507, 0.750, 0.159)
O (0.620, 0.060, 0.327)
O (0.620, 0.440, 0.327)
O (0.714, 0.250, 0.580)
O (0.762, 0.750, 0.950)
O (0.927, 0.750, 0.623)
O (0.939, 0.750, 0.172)

Results
The value obtained for the formation energy (no corrections) is -1.69 eV/atom. As for the space group: P2_1/m (11).

***

Below is a PBEsol-optimized structure of BiBAs2Se, with properties calculated at the meta-GGA SCAN level.

Cell lengths 5.374, 5.374, 5.448 Å; angles 90.00, 90.00, 90.00 degrees
Atoms (fractional coordinates):
Bi (0.000, 0.000, 0.000)
B (0.500, 0.500, 0.500)
As (0.000, 0.500, 0.000)
As (0.500, 0.000, 0.000)
Se (0.000, 0.000, 0.500)

Results
The value obtained for the formation energy (no corrections) is 1.88 eV/atom. As for the space group: P4/mmm (123).

***

Below is a PBEsol-optimized structure of BiBAsSe2, with properties calculated at the meta-GGA SCAN level.

Cell lengths 5.455, 5.455, 5.360 Å; angles 90.00, 90.00, 90.00 degrees
Atoms (fractional coordinates):
Bi (0.000, 0.000, 0.000)
B (0.500, 0.500, 0.500)
As (0.000, 0.000, 0.500)
Se (0.000, 0.500, 0.000)
Se (0.500, 0.000, 0.000)

Results
The value obtained for the formation energy (no corrections) is 1.66 eV/atom. As for the space group: P4/mmm (123).

***

Below is a PBEsol-optimized structure of BAsBr2, with properties calculated at the meta-GGA SCAN level.

Cell lengths 3.292, 3.292, 28.288 Å; angles 90.00, 90.00, 120.00 degrees
Atoms (fractional coordinates):
B (0.000, 0.000, 0.000)
B (0.333, 0.667, 0.667)
B (0.667, 0.333, 0.333)
As (0.000, 0.000, 0.500)
As (0.333, 0.667, 0.167)
As (0.667, 0.333, 0.833)
Br (0.000, 0.000, 0.064)
Br (0.000, 0.000, 0.936)
Br (0.333, 0.667, 0.603)
Br (0.333, 0.667, 0.731)
Br (0.667, 0.333, 0.269)
Br (0.667, 0.333, 0.397)

Results
The value obtained for the formation energy (no corrections) is 0.81 eV/atom. As for the space group: R-3m (166).

***

Below is a PBEsol-optimized structure of BAs2BrCl, with properties calculated at the meta-GGA SCAN level.

Cell lengths 4.479, 4.479, 4.559 Å; angles 90.00, 90.00, 90.00 degrees
Atoms (fractional coordinates):
B (0.000, 0.000, 0.000)
As (0.000, 0.500, 0.000)
As (0.500, 0.000, 0.000)
Br (0.000, 0.000, 0.500)
Cl (0.500, 0.500, 0.500)

Results
The value obtained for the formation energy (no corrections) is 0.80 eV/atom. As for the space group: P4/mmm (123).

***

Below is a PBEsol-optimized structure of CsBAsBr2, with properties calculated at the meta-GGA SCAN level.

Cell lengths 5.617, 5.617, 4.054 Å; angles 90.00, 90.00, 90.00 degrees
Atoms (fractional coordinates):
Cs (0.000, 0.000, 0.000)
B (0.500, 0.500, 0.500)
As (0.500, 0.500, 0.000)
Br (0.000, 0.500, 0.500)
Br (0.500, 0.000, 0.500)

Results
The value obtained for the formation energy (no corrections) is -0.03 eV/atom. As for the space group: P4/mmm (123).

***

Below is a PBEsol-optimized structure of FeBAsBr2, with properties calculated at the meta-GGA SCAN level.

Cell lengths 4.565, 4.565, 4.401 Å; angles 90.00, 90.00, 90.00 degrees
Atoms (fractional coordinates):
Fe (0.000, 0.000, 0.000)
B (0.500, 0.500, 0.500)
As (0.500, 0.500, 0.000)
Br (0.000, 0.500, 0.500)
Br (0.500, 0.000, 0.500)

Results
The value obtained for the formation energy (no corrections) is 1.02 eV/atom. The energy above the most stable polymorph in this dataset comes out at 0 meV per atom. As for the space group: P4/mmm (123).